VASP calculation (PBE) on a relaxed structure of HfAlRu.

The value obtained for the spin magnetization is 0.00 μB/f.u. For the density of states at the Fermi level, the calculation gives 2.451 states/eV per cell. The value obtained for the energy relative to the elements is -0.5785 eV/atom.

The structure belongs to space group P-3m1 (No. 164); the cell edges are 4.4023, 4.4023 and 5.9731 Å and the angles 90.00°, 90.00° and 120.00°. The asymmetric unit holds Hf at (0.0000, 0.0000, 0.0000), Hf at (0.0000, 0.0000, 0.5000), Al at (0.3333, 0.6667, 0.2716) and Ru at (0.3333, 0.6667, 0.8211).



VASP calculation (PBE) on a relaxed structure of TmMgCl6.

The value obtained for the spin magnetization is 1.11 μB/f.u. The value obtained for the uncorrected formation energy is -1659 meV per atom. For the density of states at the Fermi level, the calculation gives 7.798 states/eV per cell.

The structure belongs to space group P-1 (No. 2); the cell edges are 6.4916, 6.5159 and 6.7869 Å and the angles 61.66°, 65.71° and 60.26°. The asymmetric unit holds Tm at (0.0000, 0.0000, 0.0000), Mg at (0.5000, 0.5000, 0.5000), Cl at (0.1152, 0.3944, 0.7126), Cl at (0.2602, 0.9118, 0.2562) and Cl at (0.3883, 0.7165, 0.7787).



VASP calculation (PBE) on a relaxed structure of Y3ErIn3.

The value obtained for the spin magnetization is 0.00 μB/f.u. For the density of states at the Fermi level, the calculation gives 38.327 states/eV per cell. The value obtained for the energy relative to the elements is -0.3381 eV/atom.

The structure belongs to space group P2_13 (No. 198); the cell edges are 9.3105, 9.3105 and 9.3105 Å and the angles 90.00°, 90.00° and 90.00°. The asymmetric unit holds Y at (0.0708, 0.4292, 0.5708), Y at (0.1758, 0.1758, 0.1758), Y at (0.1758, 0.8242, 0.3242), Er at (0.0780, 0.5780, 0.9220) and In at (0.0012, 0.2549, 0.8745).



Q: The highest spin magnetization belongs to which entry?
A: TmMgCl6



Q: The highest spin magnetization belongs to which entry?
A: TmMgCl6



Q: Number 1 is which compound?
A: HfAlRu